# PBE-GGA SrCaSiNi, relaxed
# M_tot	0.00	μB per atom
# uncorrected formation energy	-0.41	eV per atom
# energy	-4.13	eV per atom
# DOS at the Fermi energy	9.29	states/eV per cell
data_SrCaSiNi
_symmetry_space_group_name_H-M 'R 3 m'
_symmetry_Int_Tables_number 160
_symmetry_space_group_name_Hall 'R 3 -2"'
_cell_length_a 4.1026
_cell_length_b 4.1026
_cell_length_c 23.4917
_cell_angle_alpha 90.00
_cell_angle_beta 90.00
_cell_angle_gamma 120.00
loop_
_atom_site_label
_atom_site_fract_x
_atom_site_fract_y
_atom_site_fract_z
Sr1 0.0000 0.0000 0.0000
Ca1 0.0000 0.0000 0.8316
Si1 0.0000 0.0000 0.5771
Ni1 0.0000 0.0000 0.2436

---

# PBE-GGA Li5In2SnHg2, relaxed
# calculated formation energy	-0.24	eV/atom
# M_tot	0.00	μB per atom
# energy	-2.20	eV per atom
# DOS at the Fermi energy	6.67	states/eV per cell
data_Li5In2SnHg2
_symmetry_space_group_name_H-M 'P 4/m b m'
_symmetry_Int_Tables_number 127
_symmetry_space_group_name_Hall '-P 4 2ab'
_cell_length_a 10.7943
_cell_length_b 10.7943
_cell_length_c 3.5890
_cell_angle_alpha 90.00
_cell_angle_beta 90.00
_cell_angle_gamma 90.00
loop_
_atom_site_label
_atom_site_fract_x
_atom_site_fract_y
_atom_site_fract_z
Li1 0.0000 0.5000 0.0000
Li2 0.0857 0.1845 0.0000
In1 0.1668 0.6668 0.5000
Sn1 0.0000 0.0000 0.5000
Hg1 0.1318 0.3682 0.5000

---

# PBE-GGA Ba4NCl2, relaxed
# M_tot	0.00	μB per atom
# uncorrected formation energy	-1.11	eV per atom
# energy	-3.92	eV per atom
# DOS at the Fermi energy	7.93	states/eV per cell
data_Ba4NCl2
_symmetry_space_group_name_H-M 'I 4/m m m'
_symmetry_Int_Tables_number 139
_symmetry_space_group_name_Hall '-I 4 2'
_cell_length_a 5.7766
_cell_length_b 5.7766
_cell_length_c 15.1123
_cell_angle_alpha 90.00
_cell_angle_beta 90.00
_cell_angle_gamma 90.00
loop_
_atom_site_label
_atom_site_fract_x
_atom_site_fract_y
_atom_site_fract_z
Ba1 0.0000 0.0000 0.1860
Ba2 0.0000 0.5000 0.0000
N1 0.0000 0.0000 0.0000
Cl1 0.0000 0.0000 0.3937

---

# PBE-GGA Tc2SnRh, relaxed
# calculated formation energy	1.23	eV/atom
# M_tot	0.00	μB per atom
# energy	-6.80	eV per atom
# DOS at the Fermi energy	16.79	states/eV per cell
data_Tc2SnRh
_symmetry_space_group_name_H-M 'I -4 2 d'
_symmetry_Int_Tables_number 122
_symmetry_space_group_name_Hall 'I -4 2bw'
_cell_length_a 6.0775
_cell_length_b 6.0775
_cell_length_c 10.2104
_cell_angle_alpha 90.00
_cell_angle_beta 90.00
_cell_angle_gamma 90.00
loop_
_atom_site_label
_atom_site_fract_x
_atom_site_fract_y
_atom_site_fract_z
Tc1 0.2130 0.2500 0.1250
Sn1 0.0000 0.0000 0.5000
Rh1 0.0000 0.0000 0.0000

---

# PBE-GGA Nd3CuSi3, relaxed
# M_tot	0.08	μB per atom
# uncorrected formation energy	-0.68	eV per atom
# energy	-5.63	eV per atom
# DOS at the Fermi energy	12.11	states/eV per cell
data_Nd3CuSi3
_symmetry_space_group_name_H-M 'I m m 2'
_symmetry_Int_Tables_number 44
_cell_length_a 4.0135
_cell_length_b 4.3422
_cell_length_c 18.1881
_cell_angle_alpha 90.00
_cell_angle_beta 90.00
_cell_angle_gamma 90.00
loop_
_symmetry_equiv_pos_as_xyz
'x,y,z'
'-x,-y,z'
'-x,y,z'
'x,-y,z'
'x+1/2,y+1/2,z+1/2'
'-x+1/2,-y+1/2,z+1/2'
'-x+1/2,y+1/2,z+1/2'
'x+1/2,-y+1/2,z+1/2'
loop_
_atom_site_label
_atom_site_fract_x
_atom_site_fract_y
_atom_site_fract_z
Nd1 0.0000 0.0000 0.0000
Nd2 0.0000 0.0000 0.3672
Nd3 0.0000 0.5000 0.6857
Cu1 0.0000 0.5000 0.1170
Si1 0.0000 0.0000 0.5470
Si2 0.0000 0.0000 0.8237
Si3 0.0000 0.5000 0.2440

---

# PBE-GGA ZrAu3Se, relaxed
# M_tot	0.17	μB per atom
# uncorrected formation energy	0.60	eV per atom
# energy	-3.77	eV per atom
# E above lowest polymorph	0	meV per atom
# DOS at the Fermi energy	5.01	states/eV per cell
data_ZrAu3Se
_symmetry_space_group_name_H-M 'P m -3 m'
_symmetry_Int_Tables_number 221
_symmetry_space_group_name_Hall '-P 4 2 3'
_cell_length_a 4.9120
_cell_length_b 4.9120
_cell_length_c 4.9120
_cell_angle_alpha 90.00
_cell_angle_beta 90.00
_cell_angle_gamma 90.00
loop_
_atom_site_label
_atom_site_fract_x
_atom_site_fract_y
_atom_site_fract_z
Zr1 0.0000 0.0000 0.0000
Au1 0.0000 0.5000 0.5000
Se1 0.5000 0.5000 0.5000

---

# PBE-GGA AlAuF3, relaxed
# M_tot	0.00	μB per atom
# uncorrected formation energy	-1.90	eV per atom
# energy	-4.42	eV per atom
# E above lowest polymorph	0	meV per atom
# DOS at the Fermi energy	1.45	states/eV per cell
data_AlAuF3
_symmetry_space_group_name_H-M 'P m -3 m'
_symmetry_Int_Tables_number 221
_symmetry_space_group_name_Hall '-P 4 2 3'
_cell_length_a 3.9374
_cell_length_b 3.9374
_cell_length_c 3.9374
_cell_angle_alpha 90.00
_cell_angle_beta 90.00
_cell_angle_gamma 90.00
loop_
_atom_site_label
_atom_site_fract_x
_atom_site_fract_y
_atom_site_fract_z
Al1 0.0000 0.0000 0.0000
Au1 0.5000 0.5000 0.5000
F1 0.0000 0.0000 0.5000

---

# PBE-GGA Ba2BeAg, relaxed
# calculated formation energy	0.34	eV/atom
# M_tot	0.00	μB per atom
# energy	-2.27	eV per atom
# DOS at the Fermi energy	2.86	states/eV per cell
data_Ba2BeAg
_symmetry_space_group_name_H-M 'P 4 m m'
_symmetry_Int_Tables_number 99
_cell_length_a 4.8265
_cell_length_b 4.8265
_cell_length_c 6.8351
_cell_angle_alpha 90.00
_cell_angle_beta 90.00
_cell_angle_gamma 90.00
loop_
_symmetry_equiv_pos_as_xyz
'x,y,z'
'-y,x,z'
'-x,-y,z'
'y,-x,z'
'-x,y,z'
'y,x,z'
'x,-y,z'
'-y,-x,z'
loop_
_atom_site_label
_atom_site_fract_x
_atom_site_fract_y
_atom_site_fract_z
Ba1 0.0000 0.0000 0.0000
Ba2 0.5000 0.5000 0.4970
Be1 0.0000 0.0000 0.5012
Ag1 0.5000 0.5000 0.9967

---

# PBE-GGA Na2LiIn4, relaxed
# calculated formation energy	-0.03	eV/atom
# M_tot	0.00	μB per atom
# energy	-2.25	eV per atom
# E above lowest polymorph	98	meV per atom
# DOS at the Fermi energy	5.78	states/eV per cell
data_Na2LiIn4
_symmetry_space_group_name_H-M 'C m m m'
_symmetry_Int_Tables_number 65
_symmetry_space_group_name_Hall '-C 2 2'
_cell_length_a 5.5544
_cell_length_b 15.7863
_cell_length_c 4.9363
_cell_angle_alpha 90.00
_cell_angle_beta 90.00
_cell_angle_gamma 90.00
loop_
_atom_site_label
_atom_site_fract_x
_atom_site_fract_y
_atom_site_fract_z
Na1 0.0000 0.1718 0.0000
Li1 0.0000 0.5000 0.5000
In1 0.0000 0.3067 0.5000
In2 0.0000 0.4102 0.0000

---

# PBE-GGA Mn2HgMo2, relaxed
# calculated formation energy	0.37	eV/atom
# M_tot	0.17	μB per atom
# energy	-7.69	eV per atom
# E above lowest polymorph	0	meV per atom
# DOS at the Fermi energy	9.96	states/eV per cell
data_Mn2HgMo2
_symmetry_space_group_name_H-M 'P 4/m b m'
_symmetry_Int_Tables_number 127
_symmetry_space_group_name_Hall '-P 4 2ab'
_cell_length_a 7.1959
_cell_length_b 7.1959
_cell_length_c 2.8829
_cell_angle_alpha 90.00
_cell_angle_beta 90.00
_cell_angle_gamma 90.00
loop_
_atom_site_label
_atom_site_fract_x
_atom_site_fract_y
_atom_site_fract_z
Mn1 0.1342 0.3658 0.0000
Hg1 0.0000 0.0000 0.0000
Mo1 0.1576 0.6576 0.5000

---

# PBE-GGA SiHgAs2, relaxed
# M_tot	0.00	μB per atom
# uncorrected formation energy	0.24	eV per atom
# energy	-3.51	eV per atom
# DOS at the Fermi energy	4.00	states/eV per cell
data_SiHgAs2
_symmetry_space_group_name_H-M 'R -3 m'
_symmetry_Int_Tables_number 166
_symmetry_space_group_name_Hall '-R 3 2"'
_cell_length_a 3.2686
_cell_length_b 3.2686
_cell_length_c 29.4903
_cell_angle_alpha 90.00
_cell_angle_beta 90.00
_cell_angle_gamma 120.00
loop_
_atom_site_label
_atom_site_fract_x
_atom_site_fract_y
_atom_site_fract_z
Si1 0.0000 0.0000 0.0000
Hg1 0.0000 0.0000 0.5000
As1 0.0000 0.0000 0.2761

---

# PBE-GGA NdTe2Rh, relaxed
# M_tot	0.00	μB per atom
# uncorrected formation energy	-0.33	eV per atom
# energy	-4.93	eV per atom
# DOS at the Fermi energy	8.23	states/eV per cell
data_NdTe2Rh
_symmetry_space_group_name_H-M 'R -3 m'
_symmetry_Int_Tables_number 166
_symmetry_space_group_name_Hall '-R 3 2"'
_cell_length_a 3.9514
_cell_length_b 3.9514
_cell_length_c 27.2835
_cell_angle_alpha 90.00
_cell_angle_beta 90.00
_cell_angle_gamma 120.00
loop_
_atom_site_label
_atom_site_fract_x
_atom_site_fract_y
_atom_site_fract_z
Nd1 0.0000 0.0000 0.0000
Te1 0.0000 0.0000 0.1154
Rh1 0.0000 0.0000 0.5000

---

# PBE-GGA LiTeOs2, relaxed
# M_tot	0.00	μB per atom
# uncorrected formation energy	0.67	eV per atom
# energy	-6.21	eV per atom
# DOS at the Fermi energy	4.86	states/eV per cell
data_LiTeOs2
_symmetry_space_group_name_H-M 'P m m m'
_symmetry_Int_Tables_number 47
_cell_length_a 2.9790
_cell_length_b 4.4532
_cell_length_c 4.9494
_cell_angle_alpha 90.00
_cell_angle_beta 90.00
_cell_angle_gamma 90.00
loop_
_symmetry_equiv_pos_as_xyz
'x,y,z'
'-x,-y,-z'
'-x,-y,z'
'x,y,-z'
'x,-y,-z'
'-x,y,z'
'-x,y,-z'
'x,-y,z'
loop_
_atom_site_label
_atom_site_fract_x
_atom_site_fract_y
_atom_site_fract_z
Li1 0.0000 0.0000 0.0000
Te1 0.5000 0.5000 0.0000
Os1 0.0000 0.5000 0.5000
Os2 0.5000 0.0000 0.5000

---

# PBE-GGA LaBeRu, relaxed
# calculated formation energy	-0.14	eV/atom
# M_tot	0.00	μB per atom
# energy	-6.12	eV per atom
# E above lowest polymorph	140	meV per atom
# DOS at the Fermi energy	2.39	states/eV per cell
data_LaBeRu
_symmetry_space_group_name_H-M 'I 4 m m'
_symmetry_Int_Tables_number 107
_symmetry_space_group_name_Hall 'I 4 -2'
_cell_length_a 3.2633
_cell_length_b 3.2633
_cell_length_c 10.0838
_cell_angle_alpha 90.00
_cell_angle_beta 90.00
_cell_angle_gamma 90.00
loop_
_atom_site_label
_atom_site_fract_x
_atom_site_fract_y
_atom_site_fract_z
La1 0.0000 0.0000 0.0000
Be1 0.0000 0.0000 0.7175
Ru1 0.0000 0.0000 0.2622

---

# PBE-GGA FeSi2Tc2, relaxed
# M_tot	0.09	μB per atom
# uncorrected formation energy	-0.28	eV per atom
# energy	-8.29	eV per atom
# E above lowest polymorph	0	meV per atom
# DOS at the Fermi energy	9.04	states/eV per cell
data_FeSi2Tc2
_symmetry_space_group_name_H-M 'I m m m'
_symmetry_Int_Tables_number 71
_symmetry_space_group_name_Hall '-I 2 2'
_cell_length_a 3.7528
_cell_length_b 4.8400
_cell_length_c 7.1028
_cell_angle_alpha 90.00
_cell_angle_beta 90.00
_cell_angle_gamma 90.00
loop_
_atom_site_label
_atom_site_fract_x
_atom_site_fract_y
_atom_site_fract_z
Fe1 0.0000 0.0000 0.0000
Si1 0.0000 0.2373 0.5000
Tc1 0.0000 0.5000 0.1965

---

# PBE-GGA CeAl2Zn2, relaxed
# calculated formation energy	-0.38	eV/atom
# M_tot	0.11	μB per atom
# energy	-3.57	eV per atom
# DOS at the Fermi energy	16.94	states/eV per cell
data_CeAl2Zn2
_symmetry_space_group_name_H-M 'I 4/m m m'
_symmetry_Int_Tables_number 139
_symmetry_space_group_name_Hall '-I 4 2'
_cell_length_a 4.2001
_cell_length_b 4.2001
_cell_length_c 10.8911
_cell_angle_alpha 90.00
_cell_angle_beta 90.00
_cell_angle_gamma 90.00
loop_
_atom_site_label
_atom_site_fract_x
_atom_site_fract_y
_atom_site_fract_z
Ce1 0.0000 0.0000 0.0000
Al1 0.0000 0.5000 0.2500
Zn1 0.0000 0.0000 0.3881

---

# PBE-GGA PmEuCdIn, relaxed
# calculated formation energy	-0.41	eV/atom
# M_tot	1.86	μB per atom
# energy	-5.08	eV per atom
# DOS at the Fermi energy	37.46	states/eV per cell
data_PmEuCdIn
_symmetry_space_group_name_H-M 'F -4 3 m'
_symmetry_Int_Tables_number 216
_symmetry_space_group_name_Hall 'F -4 2 3'
_cell_length_a 7.7807
_cell_length_b 7.7807
_cell_length_c 7.7807
_cell_angle_alpha 90.00
_cell_angle_beta 90.00
_cell_angle_gamma 90.00
loop_
_atom_site_label
_atom_site_fract_x
_atom_site_fract_y
_atom_site_fract_z
Pm1 0.0000 0.0000 0.0000
Eu1 0.0000 0.0000 0.5000
Cd1 0.2500 0.2500 0.7500
In1 0.2500 0.2500 0.2500

---

# PBE-GGA LaGdRh, relaxed
# calculated formation energy	-0.48	eV/atom
# M_tot	2.47	μB per atom
# energy	-9.27	eV per atom
# E above lowest polymorph	41	meV per atom
# DOS at the Fermi energy	6.67	states/eV per cell
data_LaGdRh
_symmetry_space_group_name_H-M 'I 4 m m'
_symmetry_Int_Tables_number 107
_symmetry_space_group_name_Hall 'I 4 -2'
_cell_length_a 3.5673
_cell_length_b 3.5673
_cell_length_c 13.0601
_cell_angle_alpha 90.00
_cell_angle_beta 90.00
_cell_angle_gamma 90.00
loop_
_atom_site_label
_atom_site_fract_x
_atom_site_fract_y
_atom_site_fract_z
La1 0.0000 0.0000 0.0000
Gd1 0.0000 0.0000 0.7455
Rh1 0.0000 0.0000 0.3650

---

# PBE-GGA UPaNb2, relaxed
# calculated formation energy	0.42	eV/atom
# M_tot	0.38	μB per atom
# energy	-9.81	eV per atom
# E above lowest polymorph	58	meV per atom
# DOS at the Fermi energy	44.70	states/eV per cell
data_UPaNb2
_symmetry_space_group_name_H-M 'F m -3 m'
_symmetry_Int_Tables_number 225
_symmetry_space_group_name_Hall '-F 4 2 3'
_cell_length_a 7.0180
_cell_length_b 7.0180
_cell_length_c 7.0180
_cell_angle_alpha 90.00
_cell_angle_beta 90.00
_cell_angle_gamma 90.00
loop_
_atom_site_label
_atom_site_fract_x
_atom_site_fract_y
_atom_site_fract_z
U1 0.0000 0.0000 0.0000
Pa1 0.0000 0.0000 0.5000
Nb1 0.2500 0.2500 0.2500

---

# PBE-GGA PmPr4Au4, relaxed
# calculated formation energy	-0.56	eV/atom
# M_tot	0.00	μB per atom
# energy	-4.66	eV per atom
# DOS at the Fermi energy	19.43	states/eV per cell
data_PmPr4Au4
_symmetry_space_group_name_H-M 'P 42/n'
_symmetry_Int_Tables_number 86
_cell_length_a 9.3702
_cell_length_b 9.3702
_cell_length_c 6.2593
_cell_angle_alpha 90.00
_cell_angle_beta 90.00
_cell_angle_gamma 90.00
loop_
_symmetry_equiv_pos_as_xyz
'x,y,z'
'-x,-y,-z'
'-y,x+1/2,z+1/2'
'y,-x+1/2,-z+1/2'
'-x+1/2,-y+1/2,z'
'x+1/2,y+1/2,-z'
'y+1/2,-x,z+1/2'
'-y+1/2,x,-z+1/2'
loop_
_atom_site_label
_atom_site_fract_x
_atom_site_fract_y
_atom_site_fract_z
Pm1 0.2500 0.2500 0.2500
Pr1 0.0553 0.6600 0.1588
Au1 0.0308 0.6340 0.6475